Zr4FeTc2: relaxed, PBE.

Cell: 4.5917 4.5917 22.2402 Å, 90.00 90.00 120.00°
Closest atoms and distances in Å follow each position.
Space group R-3m (No. 166, hexagonal axes)
Symmetry-distinct sites (fractional):
Zr (0.0000, 0.0000, 0.1232)  4 Tc 2.79, 3 Fe 2.82
Zr (0.0000, 0.0000, 0.3742)  4 Tc 2.79-2.83, 1 Fe 2.80
Fe (0.0000, 0.0000, 0.5000)  8 Zr 2.80-2.82
Tc (0.0000, 0.0000, 0.2486)  8 Zr 2.79-2.83

For the calculated formation energy, the calculation gives -125 meV/atom.